The following is a DFT calculation (PBE) of an optimized crystal structure of Ti2NbAl5Ni2.

Unit cell a=8.7320 b=8.7320 c=3.9309 alpha=90.00 beta=90.00 gamma=90.00
With the nearest neighbours (Å) after each atom.
Space group P4/mbm (No. 127)
One atom of each set of equivalent atoms:
Ti 0.1747 0.3253 0.0000 x4  3 Ni 2.51-2.63
Nb 0.0000 0.0000 0.0000 x2  8 Al 2.76
Al 0.0000 0.5000 0.5000 x2  4 Ni 2.48, 4 Al 2.61
Al 0.0707 0.7904 0.5000 x8  2 Ni 2.50, 4 Al 2.61-2.73, 2 Nb 2.76
Ni 0.1218 0.6218 0.0000 x4  6 Al 2.48-2.50, 3 Ti 2.51-2.63

- volume (Å³ per cell) = 300
- formation energy from the elements (meV/atom) = -459
- D(E_F) (states/eV/cell) = 13.503
- E (eV/atom) = -6.07